No. 1
VASP calculation (PBE) on an optimized crystal structure of Mg5AlSn4.

The density of states at the Fermi level comes out at 4.48 states/eV per cell. Its formation enthalpy at 0 K is -54.3 kJ/mol of formula units.

It has space group P4/mmm (No. 123), with a = 3.6818 Å, b = 3.6818 Å, c = 17.1991 Å, α = 90.00°, β = 90.00° and γ = 90.00°. The asymmetric unit holds Mg at (0.0000, 0.0000, 0.0000), Mg at (0.0000, 0.0000, 0.2079), Mg at (0.0000, 0.0000, 0.4117), Al at (0.5000, 0.5000, 0.5000), Sn at (0.5000, 0.5000, 0.1037) and Sn at (0.5000, 0.5000, 0.3110).



No. 2
VASP calculation (PBE) on an optimized crystal structure of Mg2AlSn2.

The density of states at the Fermi level comes out at 2.90 states/eV per cell. Its formation enthalpy at 0 K is 21.3 kJ/mol of formula units. The relative energy among the computed polymorphs is 0.00 eV/f.u.

It has space group P4/mbm (No. 127), with a = 8.6750 Å, b = 8.6750 Å, c = 3.1840 Å, α = 90.00°, β = 90.00° and γ = 90.00°. The asymmetric unit holds Mg at (0.1319, 0.3681, 0.0000), Al at (0.0000, 0.0000, 0.5000) and Sn at (0.1669, 0.6669, 0.5000).



No. 3
VASP calculation (PBE) on an optimized crystal structure of Mg3AlSn.

The density of states at the Fermi level comes out at 3.18 states/eV per cell. Its formation enthalpy at 0 K is 174.3 kJ/mol of formula units. The relative energy among the computed polymorphs is 0.00 eV/f.u.

It has space group Pm-3m (No. 221), with a = 5.1544 Å, b = 5.1544 Å, c = 5.1544 Å, α = 90.00°, β = 90.00° and γ = 90.00°. The asymmetric unit holds Mg at (0.0000, 0.0000, 0.5000), Al at (0.0000, 0.0000, 0.0000) and Sn at (0.5000, 0.5000, 0.5000).



No. 4
VASP calculation (PBE) on an optimized crystal structure of MgAl3Sn.

The density of states at the Fermi level comes out at 3.87 states/eV per cell. Its formation enthalpy at 0 K is 379.9 kJ/mol of formula units. The relative energy among the computed polymorphs is 0.00 eV/f.u.

It has space group Pm-3m (No. 221), with a = 5.0932 Å, b = 5.0932 Å, c = 5.0932 Å, α = 90.00°, β = 90.00° and γ = 90.00°. The asymmetric unit holds Mg at (0.0000, 0.0000, 0.0000), Al at (0.0000, 0.0000, 0.5000) and Sn at (0.5000, 0.5000, 0.5000).



No. 5
VASP calculation (PBE) on an optimized crystal structure of MgAlSn.

The density of states at the Fermi level comes out at 1.88 states/eV per cell. Its formation enthalpy at 0 K is 9.1 kJ/mol of formula units.

It has space group Amm2 (No. 38), with a = 3.0605 Å, b = 3.3167 Å, c = 13.3088 Å, α = 90.00°, β = 90.00° and γ = 90.00°. The asymmetric unit holds Mg at (0.0000, 0.0000, 0.0000), Al at (0.5000, 0.0000, 0.3555) and Sn at (0.5000, 0.0000, 0.6728).



No. 6
VASP calculation (PBE) on an optimized crystal structure of MgAlSn.

The density of states at the Fermi level comes out at 4.33 states/eV per cell. Its formation enthalpy at 0 K is 24.1 kJ/mol of formula units.

It has space group R3m (No. 160, hexagonal axes), with a = 4.3678 Å, b = 4.3678 Å, c = 13.8290 Å, α = 90.00°, β = 90.00° and γ = 120.00°. The asymmetric unit holds Mg at (0.0000, 0.0000, 0.0000), Al at (0.0000, 0.0000, 0.7885) and Sn at (0.0000, 0.0000, 0.2125).



No. 7
VASP calculation (PBE) on an optimized crystal structure of Mg2Al2Sn.

The density of states at the Fermi level comes out at 5.08 states/eV per cell. Its formation enthalpy at 0 K is 18.8 kJ/mol of formula units. The relative energy among the computed polymorphs is 0.00 eV/f.u.

It has space group P4/mbm (No. 127), with a = 8.2561 Å, b = 8.2561 Å, c = 3.1354 Å, α = 90.00°, β = 90.00° and γ = 90.00°. The asymmetric unit holds Mg at (0.1822, 0.3178, 0.0000), Al at (0.1150, 0.6150, 0.5000) and Sn at (0.0000, 0.0000, 0.5000).



No. 8
VASP calculation (PBE) on an optimized crystal structure of MgAl2Sn2.

The density of states at the Fermi level comes out at 4.76 states/eV per cell. Its formation enthalpy at 0 K is 74.7 kJ/mol of formula units.

It has space group P4/mbm (No. 127), with a = 7.8806 Å, b = 7.8806 Å, c = 3.7761 Å, α = 90.00°, β = 90.00° and γ = 90.00°. The asymmetric unit holds Mg at (0.0000, 0.0000, 0.0000), Al at (0.1371, 0.3629, 0.5000) and Sn at (0.1561, 0.6561, 0.0000).



No. 9
VASP calculation (PBE) on an optimized crystal structure of MgAlSn.

The density of states at the Fermi level comes out at 2.17 states/eV per cell. Its formation enthalpy at 0 K is 3.8 kJ/mol of formula units.

It has space group P1 (No. 1), with a = 5.1005 Å, b = 5.6445 Å, c = 5.7441 Å, α = 64.64°, β = 64.61° and γ = 69.93°. The asymmetric unit holds Mg at (0.0000, 0.0000, 0.0000), Mg at (0.0014, 0.4996, 0.4996), Al at (0.3045, 0.4465, 0.9263), Al at (0.6944, 0.5562, 0.0708), Sn at (0.3453, 0.9089, 0.3874) and Sn at (0.6543, 0.0935, 0.6102).



No. 10
VASP calculation (PBE) on an optimized crystal structure of MgAl2Sn2.

The density of states at the Fermi level comes out at 0.91 states/eV per cell. Its formation enthalpy at 0 K is 29.3 kJ/mol of formula units.

It has space group P-3m1 (No. 164), with a = 4.4079 Å, b = 4.4079 Å, c = 7.3251 Å, α = 90.00°, β = 90.00° and γ = 120.00°. The asymmetric unit holds Mg at (0.0000, 0.0000, 0.0000), Al at (0.3333, 0.6667, 0.6165) and Sn at (0.3333, 0.6667, 0.2266).



No. 11
VASP calculation (PBE) on an optimized crystal structure of MgAlSn.

The density of states at the Fermi level comes out at 1.72 states/eV per cell. Its formation enthalpy at 0 K is 0.7 kJ/mol of formula units.

It has space group P-1 (No. 2), with a = 3.2620 Å, b = 6.5421 Å, c = 6.9688 Å, α = 101.73°, β = 103.46° and γ = 104.25°. The asymmetric unit holds Mg at (0.2329, 0.1319, 0.3327), Al at (0.4005, 0.7912, 0.0083) and Sn at (0.0433, 0.3767, 0.7085).



No. 12
VASP calculation (PBE) on an optimized crystal structure of MgAlSn.

The density of states at the Fermi level comes out at 1.83 states/eV per cell. Its formation enthalpy at 0 K is 6.0 kJ/mol of formula units.

It has space group P1 (No. 1), with a = 5.0574 Å, b = 5.5638 Å, c = 5.6156 Å, α = 64.22°, β = 69.16° and γ = 79.04°. The asymmetric unit holds Mg at (0.0000, 0.0000, 0.0000), Mg at (0.0076, 0.3160, 0.3559), Al at (0.0090, 0.7100, 0.6336), Al at (0.5082, 0.9806, 0.5094), Sn at (0.4901, 0.3347, 0.8297) and Sn at (0.5126, 0.6567, 0.1686).



No. 13
VASP calculation (PBE) on an optimized crystal structure of MgAl2Sn.

The density of states at the Fermi level comes out at 5.71 states/eV per cell. Its formation enthalpy at 0 K is 79.2 kJ/mol of formula units.

It has space group R3m (No. 160, hexagonal axes), with a = 4.3356 Å, b = 4.3356 Å, c = 17.6323 Å, α = 90.00°, β = 90.00° and γ = 120.00°. The asymmetric unit holds Mg at (0.0000, 0.0000, 0.0000), Al at (0.0000, 0.0000, 0.4160), Al at (0.0000, 0.0000, 0.5778) and Sn at (0.0000, 0.0000, 0.8280).



No. 14
VASP calculation (PBE) on an optimized crystal structure of Mg2Al2Sn.

The density of states at the Fermi level comes out at 5.44 states/eV per cell. Its formation enthalpy at 0 K is 60.2 kJ/mol of formula units. The relative energy among the computed polymorphs is 0.43 eV/f.u.

It has space group P4/mbm (No. 127), with a = 8.4324 Å, b = 8.4324 Å, c = 3.0781 Å, α = 90.00°, β = 90.00° and γ = 90.00°. The asymmetric unit holds Mg at (0.1247, 0.3753, 0.0000), Al at (0.1745, 0.6745, 0.5000) and Sn at (0.0000, 0.0000, 0.0000).



No. 15
VASP calculation (PBE) on an optimized crystal structure of Mg5AlSn.

The density of states at the Fermi level comes out at 8.15 states/eV per cell. Its formation enthalpy at 0 K is 16.3 kJ/mol of formula units.

It has space group C2/c (No. 15), with a = 8.4200 Å, b = 8.1457 Å, c = 9.7769 Å, α = 90.00°, β = 93.48° and γ = 90.00°. The asymmetric unit holds Mg at (0.0000, 0.1765, 0.2500), Mg at (0.1461, 0.3961, 0.5042), Mg at (0.1839, 0.1740, 0.7903), Al at (0.0000, 0.4820, 0.7500) and Sn at (0.0000, 0.0000, 0.0000).



No. 16
VASP calculation (PBE) on an optimized crystal structure of Mg14AlSn.

The density of states at the Fermi level comes out at 7.11 states/eV per cell. Its formation enthalpy at 0 K is -20.0 kJ/mol of formula units. The relative energy among the computed polymorphs is 0.04 eV/f.u.

It has space group P-6m2 (No. 187), with a = 6.3966 Å, b = 6.3966 Å, c = 10.1277 Å, α = 90.00°, β = 90.00° and γ = 120.00°. The asymmetric unit holds Mg at (0.0000, 0.0000, 0.2485), Mg at (0.0012, 0.5006, 0.2537), Mg at (0.3312, 0.1656, 0.5000), Mg at (0.3337, 0.1669, 0.0000), Al at (0.3333, 0.6667, 0.5000) and Sn at (0.3333, 0.6667, 0.0000).



No. 17
VASP calculation (PBE) on an optimized crystal structure of MgAlSn.

The density of states at the Fermi level comes out at 5.67 states/eV per cell. Its formation enthalpy at 0 K is 8.6 kJ/mol of formula units.

It has space group C2 (No. 5), with a = 5.3480 Å, b = 9.6309 Å, c = 5.4163 Å, α = 90.00°, β = 109.68° and γ = 90.00°. The asymmetric unit holds Mg at (0.0000, 0.0000, 0.0000), Mg at (0.0000, 0.3253, 0.0000), Al at (0.0000, 0.1752, 0.5000), Al at (0.0000, 0.5057, 0.5000), Sn at (0.0000, 0.6502, 0.0000) and Sn at (0.0000, 0.8494, 0.5000).



No. 18
VASP calculation (PBE) on an optimized crystal structure of MgAlSn.

The density of states at the Fermi level comes out at 1.55 states/eV per cell. Its formation enthalpy at 0 K is 40.0 kJ/mol of formula units.

It has space group P-1 (No. 2), with a = 4.3070 Å, b = 4.4517 Å, c = 9.5059 Å, α = 77.26°, β = 76.91° and γ = 61.13°. The asymmetric unit holds Mg at (0.0799, 0.1019, 0.2401), Al at (0.1847, 0.1911, 0.9385) and Sn at (0.3071, 0.2991, 0.5862).



No. 19
VASP calculation (PBE) on an optimized crystal structure of MgAl2Sn.

The density of states at the Fermi level comes out at 1.25 states/eV per cell. Its formation enthalpy at 0 K is 14.7 kJ/mol of formula units.

It has space group P4/mmm (No. 123), with a = 4.3242 Å, b = 4.3242 Å, c = 4.3793 Å, α = 90.00°, β = 90.00° and γ = 90.00°. The asymmetric unit holds Mg at (0.0000, 0.0000, 0.0000), Al at (0.0000, 0.5000, 0.5000) and Sn at (0.5000, 0.5000, 0.0000).



No. 20
VASP calculation (PBE) on an optimized crystal structure of Mg14AlSn.

The density of states at the Fermi level comes out at 14.12 states/eV per cell. Its formation enthalpy at 0 K is -24.1 kJ/mol of formula units. The relative energy among the computed polymorphs is 0.00 eV/f.u.

It has space group Amm2 (No. 38), with a = 10.1731 Å, b = 6.4532 Å, c = 11.0014 Å, α = 90.00°, β = 90.00° and γ = 90.00°. The asymmetric unit holds Mg at (0.0000, 0.0000, 0.0000), Mg at (0.0000, 0.0000, 0.4993), Mg at (0.0000, 0.2487, 0.2483), Mg at (0.2504, 0.0000, 0.8305), Mg at (0.2553, 0.0000, 0.3326), Mg at (0.2561, 0.2454, 0.5806), Mg at (0.5000, 0.2492, 0.7493), Al at (0.5000, 0.0000, 0.4967) and Sn at (0.5000, 0.0000, 0.9973).



No. 21
VASP calculation (PBE) on an optimized crystal structure of MgAlSn.

The density of states at the Fermi level comes out at 4.73 states/eV per cell. Its formation enthalpy at 0 K is 0.6 kJ/mol of formula units.

It has space group C2 (No. 5), with a = 8.9590 Å, b = 6.8510 Å, c = 5.4478 Å, α = 90.00°, β = 126.19° and γ = 90.00°. The asymmetric unit holds Mg at (0.1570, 0.0000, 0.4108), Al at (0.0000, 0.3513, 0.0000), Al at (0.0000, 0.3530, 0.5000) and Sn at (0.1618, 0.6996, 0.9121).



No. 22
VASP calculation (PBE) on an optimized crystal structure of MgAl2Sn2.

The density of states at the Fermi level comes out at 4.74 states/eV per cell. Its formation enthalpy at 0 K is 54.8 kJ/mol of formula units.

It has space group I4/mmm (No. 139), with a = 3.9831 Å, b = 3.9831 Å, c = 15.0787 Å, α = 90.00°, β = 90.00° and γ = 90.00°. The asymmetric unit holds Mg at (0.0000, 0.0000, 0.0000), Al at (0.0000, 0.5000, 0.2500) and Sn at (0.0000, 0.0000, 0.3916).



No. 23
VASP calculation (PBE) on an optimized crystal structure of MgAlSn.

The density of states at the Fermi level comes out at 1.45 states/eV per cell. Its formation enthalpy at 0 K is 9.1 kJ/mol of formula units.

It has space group P3m1 (No. 156), with a = 5.0679 Å, b = 5.0679 Å, c = 2.9919 Å, α = 90.00°, β = 90.00° and γ = 120.00°. The asymmetric unit holds Mg at (0.0000, 0.0000, 0.0000), Al at (0.3333, 0.6667, 0.4972) and Sn at (0.6667, 0.3333, 0.4968).



No. 24
VASP calculation (PBE) on an optimized crystal structure of Mg2Al2Sn.

The density of states at the Fermi level comes out at 5.43 states/eV per cell. Its formation enthalpy at 0 K is 80.4 kJ/mol of formula units. The relative energy among the computed polymorphs is 0.64 eV/f.u.

It has space group I4/mmm (No. 139), with a = 4.2870 Å, b = 4.2870 Å, c = 12.5089 Å, α = 90.00°, β = 90.00° and γ = 90.00°. The asymmetric unit holds Mg at (0.0000, 0.5000, 0.2500), Al at (0.0000, 0.0000, 0.0997) and Sn at (0.0000, 0.0000, 0.5000).



No. 25
VASP calculation (PBE) on an optimized crystal structure of MgAl2Sn.

The density of states at the Fermi level comes out at 7.80 states/eV per cell. Its formation enthalpy at 0 K is 89.0 kJ/mol of formula units.

It has space group I-42d (No. 122), with a = 8.0211 Å, b = 8.0211 Å, c = 5.7487 Å, α = 90.00°, β = 90.00° and γ = 90.00°. The asymmetric unit holds Mg at (0.0000, 0.0000, 0.0000), Al at (0.2286, 0.7500, 0.6250) and Sn at (0.0000, 0.0000, 0.5000).